No. 1
The following is a PBE calculation of Pu4Zr3N8 after structural relaxation, from Alexandria. Values from VASP.

```
&SYSTEM
  ibrav = 0, nat = 15, ntyp = 3
/
ATOMIC_SPECIES
Pu 244.00 Pu.upf
Zr 91.22 Zr.upf
N 14.01 N.upf
ATOMIC_POSITIONS angstrom
Pu 0.000 0.000 0.000
Pu 2.363 2.373 0.000
Pu 2.363 -2.373 0.000
Pu 2.399 0.000 2.391
Zr -2.326 0.000 2.391
Zr 0.036 2.373 2.391
Zr 0.036 -2.373 2.391
N -2.447 0.000 4.678
N -0.001 0.000 2.264
N 4.725 2.501 0.000
N 2.399 2.434 2.391
N 2.399 -2.434 2.391
N 4.725 -2.501 0.000
N 4.798 0.000 2.517
N 7.244 0.000 0.103
CELL_PARAMETERS angstrom
4.725 -4.746 0.000
4.725 4.746 0.000
-4.653 0.000 4.782
```

Output
The calculation puts the formation energy from raw total energies at -122.1 kJ per mole of atoms. Its space-group type is No. 12. As for the density: 10544 kg/m3.



No. 2
The following is a PBE calculation of MgCuRh2C after structural relaxation, from Alexandria. Values from VASP.

```
&SYSTEM
  ibrav = 0, nat = 5, ntyp = 4
/
ATOMIC_SPECIES
Mg 24.30 Mg.upf
Cu 63.55 Cu.upf
Rh 102.91 Rh.upf
C 12.01 C.upf
ATOMIC_POSITIONS angstrom
Mg 0.000 0.000 0.000
Cu 2.026 2.026 0.000
Rh 0.000 2.026 1.993
Rh 2.026 0.000 1.993
C 2.026 2.026 1.993
CELL_PARAMETERS angstrom
4.053 0.000 0.000
0.000 4.053 0.000
0.000 0.000 3.985
```

Output
The calculation puts the formation energy at -0.14 eV per atom. Its space-group type is No. 123. As for the density: 7754 kg/m3.



No. 3
The following is a PBE calculation of Cd2WCl after structural relaxation, from Alexandria. Values from VASP.

```
&SYSTEM
  ibrav = 0, nat = 4, ntyp = 3
/
ATOMIC_SPECIES
Cd 112.41 Cd.upf
W 183.84 W.upf
Cl 35.45 Cl.upf
ATOMIC_POSITIONS angstrom
Cd 0.000 0.000 0.000
Cd 1.114 0.000 3.160
W 8.022 0.000 0.643
Cl 3.758 0.000 2.133
CELL_PARAMETERS angstrom
5.530 -1.460 0.000
5.530 1.460 0.000
-1.632 0.000 5.042
```

Output
The energy relative to the lowest polymorph listed for this composition is 19.07 kJ/mol of atoms. The calculation puts the formation energy from raw total energies at 32.4 kJ per mole of atoms. Its space-group type is No. 8. As for the density: 9058 kg/m3.



No. 4
The following is a PBE calculation of Ti3VSn after structural relaxation, from Alexandria. Values from VASP.

```
&SYSTEM
  ibrav = 0, nat = 10, ntyp = 3
/
ATOMIC_SPECIES
Ti 47.87 Ti.upf
V 50.94 V.upf
Sn 118.71 Sn.upf
ATOMIC_POSITIONS angstrom
Ti 0.000 2.114 1.259
Ti -1.395 4.530 1.259
Ti 1.831 1.057 3.777
Ti 1.395 4.530 1.259
Ti 4.620 1.057 3.777
Ti 3.226 3.473 3.777
V 0.000 0.000 0.000
V 0.000 0.000 2.518
Sn 0.000 3.725 3.777
Sn 3.226 1.862 1.259
CELL_PARAMETERS angstrom
6.452 0.000 0.000
-3.226 5.587 0.000
0.000 0.000 5.035
```

Output
The calculation puts the formation energy at 0.19 eV per atom. The energy relative to the lowest polymorph listed for this composition is 0.00 kJ/mol of atoms. Its space-group type is No. 194. As for the density: 5731 kg/m3.